[1]
KLiB4O7 | PBE-GGA | relaxed

Formation energy from raw total energies in eV/atom: -2.421

a b c (Å): 8.5930 11.3793 12.7943
angles (deg): 90.00 90.00 90.00
Last column: nearest neighbours and their distance in Å.
Space group P2_12_12_1 (No. 19)
Inequivalent atoms, fractional coordinates:
K 0.1388 0.0469 0.0985 (multiplicity 4)  4 O 2.72-2.93
K 0.1854 0.6238 0.6947 (multiplicity 4)  5 O 2.70-2.85
Li 0.0705 0.1462 0.3802 (multiplicity 4)  3 O 1.91-2.03
Li 0.2419 0.3276 0.7025 (multiplicity 4)  3 O 1.95-2.10
B 0.0018 0.8866 0.4632 (multiplicity 4)  4 O 1.47-1.50
B 0.0163 0.3679 0.8418 (multiplicity 4)  3 O 1.36-1.41
B 0.0574 0.7525 0.3100 (multiplicity 4)  3 O 1.33-1.44
B 0.0884 0.8954 0.8417 (multiplicity 4)  4 O 1.45-1.51
B 0.1062 0.3654 0.5106 (multiplicity 4)  4 O 1.45-1.49
B 0.1578 0.7703 0.9952 (multiplicity 4)  3 O 1.38
B 0.2109 0.4853 0.9334 (multiplicity 4)  3 O 1.36-1.42
B 0.2185 0.9303 0.3357 (multiplicity 4)  3 O 1.36-1.40
O 0.0112 0.7850 0.0368 (multiplicity 4)  2 B 1.38-1.49
O 0.0319 0.6577 0.2518 (multiplicity 4)  1 B 1.33
O 0.0342 0.2872 0.1061 (multiplicity 4)  2 B 1.39-1.47
O 0.0347 0.8218 0.7509 (multiplicity 4)  2 B 1.37-1.51
O 0.0398 0.4358 0.5939 (multiplicity 4)  2 B 1.45
O 0.0573 0.8428 0.5665 (multiplicity 4)  2 B 1.36-1.49
O 0.1264 0.9640 0.4189 (multiplicity 4)  2 B 1.38-1.50
O 0.1397 0.4589 0.0257 (multiplicity 4)  2 B 1.36-1.47
O 0.1518 0.4372 0.8392 (multiplicity 4)  2 B 1.41-1.42
O 0.1644 0.4419 0.4241 (multiplicity 4)  2 B 1.36-1.49
O 0.1680 0.9995 0.7953 (multiplicity 4)  2 B 1.36-1.49
O 0.1919 0.8229 0.2861 (multiplicity 4)  2 B 1.40-1.44
O 0.2005 0.8210 0.9016 (multiplicity 4)  2 B 1.38-1.49
O 0.2383 0.2948 0.5529 (multiplicity 4)  2 B 1.38-1.49

***

[2]
AcIn4Ir2 | PBE-GGA | relaxed

ΔE to the lowest computed polymorph in meV/atom: 0.0
Energy of formation in eV/atom: -0.347

a b c (Å): 18.7260 4.6364 7.3732
angles (deg): 90.00 90.00 90.00
Last column: nearest neighbours and their distance in Å.
Space group Pnma (No. 62)
Inequivalent atoms, fractional coordinates:
Ac 0.1398 0.2500 0.0337 (multiplicity 4)  10 In 3.34-3.70, 4 Ir 3.36-3.52
In 0.0336 0.7500 0.8437 (multiplicity 4)  3 Ir 2.78-2.97, 1 In 3.08
In 0.0703 0.2500 0.5032 (multiplicity 4)  4 Ir 2.78-3.05
In 0.1859 0.7500 0.3372 (multiplicity 4)  4 Ir 2.80-2.84, 1 In 2.95
In 0.1925 0.7500 0.7370 (multiplicity 4)  3 Ir 2.78-2.79, 2 In 2.95-3.08
Ir 0.0406 0.7500 0.2460 (multiplicity 4)  7 In 2.78-3.05
Ir 0.2186 0.2500 0.5382 (multiplicity 4)  7 In 2.78-2.84

***

[3]
LaHf2TiO8 | PBE-GGA | relaxed

Formation energy from raw total energies in eV/atom: -3.114

a b c (Å): 6.8370 7.0849 6.6788
angles (deg): 90.00 90.00 90.00
Last column: nearest neighbours and their distance in Å.
Space group Cmmm (No. 65)
Inequivalent atoms, fractional coordinates:
La 0.0000 0.0000 0.0000 (multiplicity 2)  6 O 2.33-2.39
Hf 0.0000 0.5000 0.2584 (multiplicity 4)  6 O 2.06-2.15
Ti 0.0000 0.0000 0.5000 (multiplicity 2)  6 O 1.95-2.12
O 0.0000 0.2986 0.5000 (multiplicity 4)  1 Ti 2.12, 2 Hf 2.15
O 0.0000 0.3284 0.0000 (multiplicity 4)  2 Hf 2.11, 1 La 2.33
O 0.2000 0.0000 0.2926 (multiplicity 8)  1 Ti 1.95, 1 Hf 2.06

***

[4]
Ho5IrRh2 | PBE-GGA | relaxed

Energy of formation in eV/atom: -0.752

a b c (Å): 7.2793 7.2793 13.9569
angles (deg): 90.00 90.00 90.00
Last column: nearest neighbours and their distance in Å.
Space group I4/mcm (No. 140)
Inequivalent atoms, fractional coordinates:
Ho 0.0000 0.0000 0.0000 (multiplicity 4)  4 Rh 2.85
Ho 0.1738 0.3262 0.1441 (multiplicity 16)  3 Rh 2.84-3.01, 2 Ir 3.07
Ir 0.0000 0.0000 0.2500 (multiplicity 4)  8 Ho 3.07
Rh 0.1312 0.3688 0.5000 (multiplicity 8)  1 Rh 2.70, 8 Ho 2.84-3.01

***

[5]
Sr2InAsRh | PBE-GGA | relaxed

Energy of formation in eV/atom: -0.362

a b c (Å): 5.9562 5.9562 4.5665
angles (deg): 90.00 90.00 90.00
Last column: nearest neighbours and their distance in Å.
Space group P4/mmm (No. 123)
Inequivalent atoms, fractional coordinates:
Sr 0.0000 0.5000 0.0000 (multiplicity 2)  2 As 2.98
In 0.0000 0.0000 0.5000 (multiplicity 1)  8 Sr 3.75
As 0.5000 0.5000 0.0000 (multiplicity 1)  2 Rh 2.28
Rh 0.5000 0.5000 0.5000 (multiplicity 1)  2 As 2.28

***

[6]
YAg4P | PBE-GGA | relaxed

Energy of formation in eV/atom: -0.037

a b c (Å): 7.8268 7.8268 7.8268
angles (deg): 90.00 90.00 90.00
Last column: nearest neighbours and their distance in Å.
Space group F-43m (No. 216)
Inequivalent atoms, fractional coordinates:
Y 0.0000 0.0000 0.0000 (multiplicity 4)  12 Ag 3.25, 4 P 3.39
Ag 0.1248 0.1248 0.6248 (multiplicity 16)  6 Ag 2.76-2.77
P 0.2500 0.2500 0.2500 (multiplicity 4)  12 Ag 3.24, 4 Y 3.39

***

[7]
ZnTc2Hg | PBE-GGA | relaxed

ΔE to the lowest computed polymorph in meV/atom: 230.0
Energy of formation in eV/atom: 0.360

a b c (Å): 8.9784 2.8592 5.0590
angles (deg): 90.00 98.03 90.00
Last column: nearest neighbours and their distance in Å.
Space group Cm (No. 8)
Inequivalent atoms, fractional coordinates:
Zn 0.0000 0.0000 0.0000 (multiplicity 2)  3 Hg 2.63-2.81, 5 Tc 2.71-2.83, 2 Zn 2.86
Tc 0.2468 0.5000 0.2739 (multiplicity 2)  5 Tc 2.57-2.86, 3 Zn 2.82-2.83
Tc 0.4924 0.0000 0.4540 (multiplicity 2)  5 Tc 2.57-2.86, 2 Zn 2.71
Hg 0.2447 0.0000 0.7684 (multiplicity 2)  3 Zn 2.63-2.81, 2 Hg 2.86, 5 Tc 2.88-2.93

***

[8]
La2TaAs4Pd3 | PBE-GGA | relaxed

Energy of formation in eV/atom: -0.824

a b c (Å): 4.4232 4.4232 10.4227
angles (deg): 90.00 90.00 90.00
Last column: nearest neighbours and their distance in Å.
Space group P-4m2 (No. 115)
Inequivalent atoms, fractional coordinates:
La 0.0000 0.5000 0.2297 (multiplicity 2)  8 As 3.26-3.43, 6 Pd 3.32-3.58, 2 Ta 3.58
Ta 0.0000 0.0000 0.5000 (multiplicity 1)  4 As 2.62
As 0.0000 0.0000 0.0000 (multiplicity 1)  4 Pd 2.56
As 0.0000 0.5000 0.6348 (multiplicity 2)  3 Pd 2.51-2.62, 2 Ta 2.62
As 0.5000 0.5000 0.0000 (multiplicity 1)  4 Pd 2.56
Pd 0.0000 0.5000 0.8758 (multiplicity 2)  5 As 2.51-2.56
Pd 0.5000 0.5000 0.5000 (multiplicity 1)  4 As 2.62

***

[9]
CrHIr | PBE-GGA | relaxed

ΔE to the lowest computed polymorph in meV/atom: 80.5

a b c (Å): 2.7401 2.7453 3.9859
angles (deg): 90.00 90.00 90.00
Last column: nearest neighbours and their distance in Å.
Space group Pmm2 (No. 25)
Inequivalent atoms, fractional coordinates:
Cr 0.0000 0.0000 0.0000 (multiplicity 1)  2 H 1.76
H 0.5000 0.0000 0.2774 (multiplicity 1)  2 Cr 1.76, 2 Ir 1.85
Ir 0.5000 0.5000 0.5885 (multiplicity 1)  2 H 1.85

***

[10]
Sm5Se4O | PBE-GGA | relaxed

Formation energy from raw total energies in eV/atom: -1.907

a b c (Å): 4.0715 4.0715 29.0966
angles (deg): 90.00 90.00 90.00
Last column: nearest neighbours and their distance in Å.
Space group I4/mmm (No. 139)
Inequivalent atoms, fractional coordinates:
Sm 0.0000 0.0000 0.0000 (multiplicity 2)  4 O 2.88, 2 Se 2.92
Sm 0.0000 0.0000 0.2057 (multiplicity 4)  6 Se 2.91-3.06
Sm 0.0000 0.0000 0.4202 (multiplicity 4)  1 O 2.32
Se 0.0000 0.0000 0.1005 (multiplicity 4)  6 Sm 2.92-3.06
Se 0.0000 0.0000 0.3083 (multiplicity 4)  5 Sm 2.91-2.99
O 0.0000 0.0000 0.5000 (multiplicity 2)  2 Sm 2.32

***

[11]
Nd2InNi2 | PBE-GGA | relaxed

Energy of formation in eV/atom: -0.431

a b c (Å): 7.5546 7.5546 3.8274
angles (deg): 90.00 90.00 90.00
Last column: nearest neighbours and their distance in Å.
Space group P4/mbm (No. 127)
Inequivalent atoms, fractional coordinates:
Nd 0.1772 0.3228 0.0000 (multiplicity 4)  6 Ni 2.91-2.97
In 0.0000 0.0000 0.5000 (multiplicity 2)  4 Ni 3.03, 8 Nd 3.38
Ni 0.1170 0.6170 0.5000 (multiplicity 4)  1 Ni 2.50

***

[12]
BaHo2RhO5 | PBE-GGA | relaxed

Formation energy from raw total energies in eV/atom: -2.520

a b c (Å): 3.9064 5.7704 11.6739
angles (deg): 90.00 90.00 90.00
Last column: nearest neighbours and their distance in Å.
Space group Immm (No. 71)
Inequivalent atoms, fractional coordinates:
Ba 0.0000 0.0000 0.0000 (multiplicity 2)  10 O 2.89-3.07
Ho 0.0000 0.5000 0.2039 (multiplicity 4)  7 O 2.21-2.46
Rh 0.0000 0.0000 0.5000 (multiplicity 2)  2 O 1.95
O 0.0000 0.2401 0.3433 (multiplicity 8)  3 Ho 2.21-2.46, 1 Rh 2.29
O 0.0000 0.5000 0.0000 (multiplicity 2)  2 Rh 1.95

***

Number 1: M_tot 0.04 μB per formula unit. Number 2: M_tot 0.00 μB per formula unit. Number 3: M_tot 0.82 μB per formula unit. Number 4: M_tot 0.00 μB per formula unit. Number 5: M_tot 0.00 μB per formula unit. Number 6: M_tot 0.00 μB per formula unit. Number 7: M_tot 0.00 μB per formula unit. Number 8: M_tot 0.00 μB per formula unit. Number 9: M_tot 0.49 μB per formula unit. Number 10: M_tot 0.00 μB per formula unit. Number 11: M_tot 0.00 μB per formula unit. Number 12: M_tot 1.34 μB per formula unit.